[1]
The following is a GGA-PBE calculation of a relaxed structure of Tb2TmTh6, from the Alexandria database.

Cell lengths 6.1391, 6.1462, 8.7072 Å; angles 76.26, 76.15, 70.48 degrees
Last column: nearest neighbours and their distance in Å.
Space group P-1 (No. 2)
Asymmetric unit:
Tb 0.1656 0.1636 0.4055  1 Tb 3.23, 7 Th 3.41-3.61
Tm 0.5000 0.5000 0.5000  4 Th 3.36, 2 Tb 3.69
Th 0.1731 0.7126 0.2090  5 Th 3.26-3.56, 1 Tm 3.36, 3 Tb 3.41-3.60
Th 0.2757 0.2755 0.9743  10 Th 3.39-3.74, 1 Tb 3.59
Th 0.2850 0.8266 0.7921  5 Th 3.26-3.56, 1 Tm 3.36, 3 Tb 3.41-3.61

## Properties
* total magnetic moment: 0.00 μB per atom
* crystal system: triclinic
* V: 32.908 A^3/atom
* energy: -56.74 eV/cell
* theoretical density: 10.54 Mg/m³
* DOS at the Fermi energy: 13.24 states/eV per cell
* formation energy from the elements: 0.168 eV per atom


[2]
The following is a GGA-PBE calculation of a relaxed structure of Tb2Tm7Th2, from the Alexandria database.

Cell lengths 11.2045, 11.4103, 5.9530 Å; angles 90.00, 113.75, 90.00 degrees
Last column: nearest neighbours and their distance in Å.
Space group C2/m (No. 12)
Asymmetric unit:
Tb 0.2366 0.0000 0.0868  8 Tm 3.34-3.67, 2 Th 3.48
Tm 0.0000 0.0000 0.5000  4 Tm 3.21, 2 Tb 3.43
Tm 0.0930 0.5000 0.3064  3 Tb 3.34-3.67, 6 Tm 3.40-3.69, 2 Th 3.69
Tm 0.1729 0.2334 0.6655  2 Tm 3.12-3.21, 2 Th 3.30-3.45, 1 Tb 3.35
Th 0.0000 0.2127 0.0000  8 Tm 3.30-3.69, 2 Tb 3.48

## Properties
* energy above the most stable polymorph in this dataset: 4 meV per atom
* total magnetic moment: 0.00 μB per atom
* crystal system: monoclinic
* V: 31.665 A^3/atom
* energy: -106.73 eV/cell
* theoretical density: 9.37 Mg/m³
* DOS at the Fermi energy: 31.78 states/eV per cell
* formation energy from the elements: 0.185 eV per atom


[3]
The following is a GGA-PBE calculation of a relaxed structure of Tb6Tm2Th, from the Alexandria database.

Cell lengths 3.5620, 3.5620, 26.2494 Å; angles 90.00, 90.00, 120.00 degrees
Last column: nearest neighbours and their distance in Å.
Space group P-6m2 (No. 187)
Asymmetric unit:
Tb 0.0000 0.0000 0.0663  3 Tm 3.44, 7 Tb 3.48-3.56
Tb 0.0000 0.0000 0.2790  3 Tm 3.50, 9 Tb 3.55-3.56
Tb 0.3333 0.6667 0.3891  9 Tb 3.55-3.56, 3 Th 3.56
Tm 0.3333 0.6667 0.1712  6 Tb 3.44-3.50, 6 Tm 3.56
Th 0.0000 0.0000 0.5000  6 Th 3.56, 6 Tb 3.56

## Properties
* energy above the most stable polymorph in this dataset: 0 meV per atom
* total magnetic moment: 0.00 μB per atom
* crystal system: hexagonal
* V: 32.048 A^3/atom
* energy: -43.64 eV/cell
* theoretical density: 8.77 Mg/m³
* DOS at the Fermi energy: 16.43 states/eV per cell
* formation energy from the elements: 0.056 eV per atom